--- 1 ---
Pm2HoZn | the Alexandria database | PBE | optimized geometry; crystal system = cubic; N(E_F) = 5.1 states/eV/cell; mass density = 7.70 g/cm3
1.0
0.0000 3.8289 3.8289
3.8289 0.0000 3.8289
3.8289 3.8289 0.0000
Pm Ho Zn
2 1 1
Direct
0.2500 0.2500 0.2500
0.7500 0.7500 0.7500
0.0000 0.0000 0.0000
0.5000 0.5000 0.5000

***

--- 2 ---
Pm2HoZn | the Alexandria database | PBE | optimized geometry; crystal system = tetragonal; N(E_F) = 3.9 states/eV/cell; mass density = 7.52 g/cm3
1.0
3.6392 0.0000 0.0000
0.0000 3.6392 0.0000
0.0000 0.0000 8.6775
Pm Ho Zn
2 1 1
Direct
0.0000 0.0000 0.2113
0.0000 0.0000 0.7887
0.5000 0.5000 0.5000
0.5000 0.5000 0.0000

***

--- 3 ---
Pm2HoZn | the Alexandria database | PBE | optimized geometry; crystal system = trigonal; N(E_F) = 4.3 states/eV/cell; mass density = 6.81 g/cm3
1.0
1.7476 1.0090 11.9887
-1.7476 1.0090 11.9887
0.0000 -2.0179 11.9887
Pm Ho Zn
2 1 1
Direct
0.0871 0.0871 0.0871
0.9129 0.9129 0.9129
0.5000 0.5000 0.5000
0.0000 0.0000 0.0000

***

--- 4 ---
Pm2HoZn | the Alexandria database | PBE | optimized geometry; crystal system = tetragonal; N(E_F) = 9.0 states/eV/cell; mass density = 7.58 g/cm3
1.0
-2.5578 2.5578 8.7073
2.5578 -2.5578 8.7073
2.5578 2.5578 -8.7073
Pm Ho Zn
4 2 2
Direct
0.0000 0.5000 0.5000
0.1448 0.1448 0.0000
0.5000 0.0000 0.5000
0.8552 0.8552 0.0000
0.3505 0.3505 0.0000
0.6495 0.6495 0.0000
0.2500 0.7500 0.5000
0.7500 0.2500 0.5000

***

Most stable one: 4, least stable one: 3.

***

--- 1 ---
PmHo2Zn | the Alexandria database | PBE | optimized geometry; crystal system = trigonal; N(E_F) = 3.1 states/eV/cell; mass density = 7.85 g/cm3
1.0
1.7871 1.0318 10.3293
-1.7871 1.0318 10.3293
0.0000 -2.0636 10.3293
Pm Ho Zn
1 2 1
Direct
0.0000 0.0000 0.0000
0.2382 0.2382 0.2382
0.7618 0.7618 0.7618
0.5000 0.5000 0.5000

***

--- 2 ---
PmHo2Zn | the Alexandria database | PBE | optimized geometry; crystal system = tetragonal; N(E_F) = 4.6 states/eV/cell; mass density = 8.11 g/cm3
1.0
3.5705 0.0000 0.0000
0.0000 3.5705 0.0000
0.0000 0.0000 8.6731
Pm Ho Zn
1 2 1
Direct
0.0000 0.0000 0.0000
0.5000 0.5000 0.2972
0.5000 0.5000 0.7028
0.0000 0.0000 0.5000

***

--- 3 ---
PmHo2Zn | the Alexandria database | PBE | optimized geometry; crystal system = cubic; N(E_F) = 5.4 states/eV/cell; mass density = 8.30 g/cm3
1.0
0.0000 3.7813 3.7813
3.7813 0.0000 3.7813
3.7813 3.7813 0.0000
Pm Ho Zn
1 2 1
Direct
0.0000 0.0000 0.0000
0.2500 0.2500 0.2500
0.7500 0.7500 0.7500
0.5000 0.5000 0.5000

***

Most stable one: 2, least stable one: 3.

***

--- 1 ---
PmHo2Zn | the Alexandria database | PBE | optimized geometry; crystal system = trigonal; N(E_F) = 4.7 states/eV/cell; mass density = 7.78 g/cm3
1.0
1.7993 1.0388 10.2809
-1.7993 1.0388 10.2809
0.0000 -2.0776 10.2809
Pm Ho Zn
1 2 1
Direct
0.0000 0.0000 0.0000
0.2378 0.2378 0.2378
0.4299 0.4299 0.4299
0.8342 0.8342 0.8342

***

--- 2 ---
PmHo2Zn | the Alexandria database | PBE | optimized geometry; crystal system = tetragonal; N(E_F) = 5.4 states/eV/cell; mass density = 8.32 g/cm3
1.0
4.7560 0.0000 0.0000
0.0000 4.7560 0.0000
0.0000 0.0000 4.7688
Pm Ho Zn
1 2 1
Direct
0.0000 0.0000 0.0000
0.0000 0.5000 0.5000
0.5000 0.0000 0.5000
0.5000 0.5000 0.0000

***

Most stable one: 1, least stable one: 2.

***

--- 1 ---
Pm3HoZn8 | the Alexandria database | PBE | optimized geometry; crystal system = trigonal; N(E_F) = 5.5 states/eV/cell; mass density = 7.81 g/cm3
1.0
2.7671 1.5976 8.9985
-2.7671 1.5976 8.9985
0.0000 -3.1952 8.9985
Pm Ho Zn
3 1 8
Direct
0.0000 0.0000 0.0000
0.1248 0.1248 0.1248
0.6256 0.6256 0.6256
0.5009 0.5009 0.5009
0.0626 0.0626 0.5606
0.0626 0.5606 0.0626
0.0654 0.5628 0.5628
0.3130 0.3130 0.3130
0.5606 0.0626 0.0626
0.5628 0.0654 0.5628
0.5628 0.5628 0.0654
0.8127 0.8127 0.8127

***

--- 2 ---
Pm3HoZn8 | the Alexandria database | PBE | optimized geometry; crystal system = trigonal; N(E_F) = 7.0 states/eV/cell; mass density = 7.81 g/cm3
1.0
5.6344 0.0000 0.0000
-2.8172 4.8795 0.0000
0.0000 0.0000 8.6894
Pm Ho Zn
3 1 8
Direct
0.0000 0.0000 0.0000
0.0000 0.0000 0.3936
0.3333 0.6667 0.8923
0.3333 0.6667 0.5031
0.0009 0.5004 0.2004
0.3374 0.1687 0.6955
0.4996 0.5004 0.2004
0.4996 0.9991 0.2004
0.6667 0.3333 0.4456
0.6667 0.3333 0.9492
0.8313 0.1687 0.6955
0.8313 0.6626 0.6955

***

Most stable one: 1, least stable one: 2.

***

--- 1 ---
PmHoZn4 | the Alexandria database | PBE | optimized geometry; crystal system = orthorhombic; N(E_F) = 5.7 states/eV/cell; mass density = 7.59 g/cm3
1.0
-2.2512 3.5700 3.8901
2.2512 -3.5700 3.8901
2.2512 3.5700 -3.8901
Pm Ho Zn
1 1 4
Direct
0.0000 0.0000 0.0000
0.5000 0.0000 0.5000
0.0874 0.3336 0.7538
0.4202 0.6664 0.7538
0.5798 0.3336 0.2462
0.9126 0.6664 0.2462

***

--- 2 ---
PmHoZn4 | the Alexandria database | PBE | optimized geometry; crystal system = cubic; N(E_F) = 1.4 states/eV/cell; mass density = 8.08 g/cm3
1.0
0.0000 3.8876 3.8876
3.8876 0.0000 3.8876
3.8876 3.8876 0.0000
Pm Ho Zn
1 1 4
Direct
0.0000 0.0000 0.0000
0.7500 0.7500 0.7500
0.3752 0.3752 0.3752
0.3752 0.3752 0.8745
0.3752 0.8745 0.3752
0.8745 0.3752 0.3752

***

Most stable one: 1, least stable one: 2.

***

--- 1 ---
Pm4HoZn | the Alexandria database | PBE | optimized geometry; crystal system = tetragonal; N(E_F) = 9.1 states/eV/cell; mass density = 6.53 g/cm3
1.0
5.2293 0.0000 0.0000
0.0000 5.2293 0.0000
0.0000 0.0000 7.5347
Pm Ho Zn
4 1 1
Direct
0.0000 0.5000 0.2308
0.0000 0.5000 0.7692
0.5000 0.0000 0.2308
0.5000 0.0000 0.7692
0.0000 0.0000 0.5000
0.5000 0.5000 0.0000

***

--- 2 ---
Pm4HoZn | the Alexandria database | PBE | optimized geometry; crystal system = tetragonal; N(E_F) = 7.0 states/eV/cell; mass density = 7.33 g/cm3
1.0
3.6378 0.0000 0.0000
0.0000 3.6378 0.0000
0.0000 0.0000 13.8764
Pm Ho Zn
4 1 1
Direct
0.0000 0.0000 0.1319
0.0000 0.0000 0.8681
0.5000 0.5000 0.3199
0.5000 0.5000 0.6801
0.0000 0.0000 0.5000
0.5000 0.5000 0.0000

***

Most stable one: 2, least stable one: 1.

***

--- 1 ---
PmHo2Zr | the Alexandria database | PBE | optimized geometry; crystal system = cubic; N(E_F) = 7.7 states/eV/cell; mass density = 7.96 g/cm3
1.0
0.0000 3.8937 3.8937
3.8937 0.0000 3.8937
3.8937 3.8937 0.0000
Pm Ho Zr
1 2 1
Direct
0.0000 0.0000 0.0000
0.2500 0.2500 0.2500
0.7500 0.7500 0.7500
0.5000 0.5000 0.5000

***

--- 2 ---
PmHo2Zr | the Alexandria database | PBE | optimized geometry; crystal system = tetragonal; N(E_F) = 4.7 states/eV/cell; mass density = 8.07 g/cm3
1.0
4.8812 0.0000 0.0000
0.0000 4.8812 0.0000
0.0000 0.0000 4.8906
Pm Ho Zr
1 2 1
Direct
0.0000 0.0000 0.0000
0.0000 0.5000 0.5000
0.5000 0.0000 0.5000
0.5000 0.5000 0.0000

***

Most stable one: 2, least stable one: 1.

***

--- 1 ---
PrHo4 | the Alexandria database | PBE | optimized geometry; crystal system = cubic; N(E_F) = 8.1 states/eV/cell; mass density = 7.45 g/cm3
1.0
5.6310 0.0000 0.0000
0.0000 5.6310 0.0000
0.0000 0.0000 5.6310
Pr Ho
1 4
Direct
0.0000 0.0000 0.0000
0.0000 0.0000 0.5000
0.0000 0.5000 0.0000
0.5000 0.0000 0.0000
0.5000 0.5000 0.5000

***

--- 2 ---
PrHo4 | the Alexandria database | PBE | optimized geometry; crystal system = orthorhombic; N(E_F) = 7.9 states/eV/cell; mass density = 8.29 g/cm3
1.0
2.7152 -8.3703 0.0000
2.7152 8.3703 0.0000
0.0000 0.0000 3.5262
Pr Ho
1 4
Direct
0.0000 0.0000 0.0000
0.2004 0.7996 0.0000
0.3884 0.6116 0.5000
0.6116 0.3884 0.5000
0.7996 0.2004 0.0000

***

--- 3 ---
PrHo4 | the Alexandria database | PBE | optimized geometry; crystal system = monoclinic; N(E_F) = 6.3 states/eV/cell; mass density = 8.35 g/cm3
1.0
3.0854 -1.7821 0.0000
3.0854 1.7821 0.0000
-2.0319 0.0000 14.4787
Pr Ho
1 4
Direct
0.0000 0.0000 0.0000
0.1995 0.1995 0.5987
0.4010 0.4010 0.2048
0.5990 0.5990 0.7952
0.8005 0.8005 0.4013

***

Most stable one: 3, least stable one: 1.